No. 1
Computed, not measured: an optimized crystal structure of Na2SrTcO at the PBE level of DFT.

Summary:
- Size of the total moment: 3.127 μB/f.u.

Cell and atoms, written as CIF:
```
data_Na2SrTcO
_symmetry_space_group_name_H-M 'P 4/m m m'
_symmetry_Int_Tables_number 123
_symmetry_space_group_name_Hall '-P 4 2'
_cell_length_a 4.820
_cell_length_b 4.820
_cell_length_c 4.949
_cell_angle_alpha 90.00
_cell_angle_beta 90.00
_cell_angle_gamma 90.00
loop_
_atom_site_label
_atom_site_type_symbol
_atom_site_fract_x
_atom_site_fract_y
_atom_site_fract_z
Na1 Na 0.000 0.500 0.000
Sr1 Sr 0.000 0.000 0.500
Tc1 Tc 0.500 0.500 0.500
O1 O 0.000 0.000 0.000
```



No. 2
Computed, not measured: an optimized crystal structure of NaSr3Tc2O9 at the PBE level of DFT.

Summary:
- Size of the total moment: 0.000 μB/f.u.

Cell and atoms, written as CIF:
```
data_NaSr3Tc2O9
_symmetry_space_group_name_H-M 'P -3 m 1'
_symmetry_Int_Tables_number 164
_symmetry_space_group_name_Hall '-P 3 2"'
_cell_length_a 5.7015
_cell_length_b 5.7015
_cell_length_c 7.0553
_cell_angle_alpha 90.00
_cell_angle_beta 90.00
_cell_angle_gamma 120.00
loop_
_atom_site_label
_atom_site_type_symbol
_atom_site_fract_x
_atom_site_fract_y
_atom_site_fract_z
Na1 Na 0.0000 0.0000 0.0000
Sr1 Sr 0.0000 0.0000 0.5000
Sr2 Sr 0.3333 0.6667 0.1522
Tc1 Tc 0.3333 0.6667 0.6627
O1 O 0.0000 0.5000 0.5000
O2 O 0.1764 0.3529 0.8136
```



No. 3
Computed, not measured: an optimized crystal structure of NaSr2TeO at the PBE level of DFT.

Summary:
- Size of the total moment: 0.000 μB/f.u.

Cell and atoms, written as CIF:
```
data_NaSr2TeO
_symmetry_space_group_name_H-M 'P 4/m m m'
_symmetry_Int_Tables_number 123
_symmetry_space_group_name_Hall '-P 4 2'
_cell_length_a 5.114
_cell_length_b 5.114
_cell_length_c 4.927
_cell_angle_alpha 90.00
_cell_angle_beta 90.00
_cell_angle_gamma 90.00
loop_
_atom_site_label
_atom_site_type_symbol
_atom_site_fract_x
_atom_site_fract_y
_atom_site_fract_z
Na1 Na 0.000 0.000 0.000
Sr1 Sr 0.000 0.500 0.500
Te1 Te 0.500 0.500 0.000
O1 O 0.000 0.000 0.500
```



Number 1: raw formation energy -67 meV per atom. Number 2: raw formation energy -2089 meV per atom. Number 3: raw formation energy -1537 meV per atom.